A plane-wave DFT calculation with GGA-PBE was carried out for a geometry-optimized Ta2SCl8 structure.

Output
SG: C2/m (12)
Raw formation energy (eV per atom): -1.2132
Calculated density (Mg/m³): 2.38
Energy (eV/atom): -5.09
D(E_F) (states/eV per cell): 0.00

a = 7.1796 Å, b = 9.0462 Å, c = 9.0462 Å
α = 56.85°, β = 75.87°, γ = 75.87°
Positions (direct):
Ta: 0.7566 0.1317 0.1317
Ta: 0.2434 0.8683 0.8683
Cl: 0.7554 0.8589 0.4022
Cl: 0.7554 0.4022 0.8589
Cl: 0.5628 0.8658 0.8658
Cl: 0.2446 0.5978 0.1411
Cl: 0.2446 0.1411 0.5978
Cl: 0.1613 0.7401 0.7401
Cl: 0.8387 0.2599 0.2599
Cl: 0.4372 0.1342 0.1342
S: 0.0000 0.0000 0.0000